A plane-wave DFT calculation with PBE+U was carried out for a geometry-optimized Ca2AlCrO5 structure.

Properties
Uncorrected energy = -129.3 eV per cell
V = 12.22 A^3/atom

Structure (POSCAR):
```
Ca2AlCrO5
1.0
-7.1155 2.8504 2.7121
7.1155 -2.8504 2.7121
7.1155 2.8504 -2.7121
Ca Al Cr O
4 2 2 10
direct
0.0310 0.1086 0.1396
0.0310 0.3914 0.4225
0.9690 0.6086 0.5775
0.9690 0.8914 0.8604
0.3855 0.7134 0.1721
0.5413 0.2134 0.8279
0.5104 0.0104 0.5000
0.5104 0.5104 0.0000
0.0109 0.2748 0.7705
0.0109 0.7404 0.2361
0.2860 0.8858 0.9002
0.4564 0.1731 0.5726
0.4564 0.3837 0.7833
0.5043 0.2404 0.2295
0.5043 0.7748 0.7639
0.6005 0.6731 0.2167
0.6005 0.8837 0.4274
0.9856 0.3858 0.0998
```